VASP calculation (PBE-GGA) on an optimized crystal structure of TlAgAs2PbS5.

Cell: 8.0244 8.2171 9.3664 Å, 65.79 75.50 65.80°
Closest atoms and distances in Å follow each position.
Space group P-1 (No. 2)
Inequivalent atoms, fractional coordinates:
Tl 0.2148 0.3484 0.3596  2 S 3.05-3.13
Ag 0.3868 0.7485 0.4093  3 S 2.52-2.57
As 0.0482 0.8841 0.6924  3 S 2.26-2.33
As 0.3948 0.4626 0.8577  3 S 2.27-2.34
Pb 0.2518 0.0400 0.9081  4 S 2.85-3.09
S 0.1267 0.8532 0.2426  1 As 2.27
S 0.1374 0.6835 0.9429  2 As 2.33-2.34
S 0.2865 0.4238 0.6768  1 As 2.27, 1 Ag 2.52
S 0.3151 0.9391 0.5877  1 As 2.26
S 0.3742 0.2055 0.0737  1 As 2.28

Properties
* crystal system: triclinic
* E_form (uncorrected): -25.6 kJ/mol of atoms